Material: Ba8RhAu2
Method: DFT, PBE
State: optimized geometry

a b c (Å): 31.1240 4.7160 8.0776
angles (deg): 90.00 104.86 90.00
Space group C2/m (No. 12)
Unique sites:
1 Ba 0.0555 0.0000 0.3984 (multiplicity 4)
2 Ba 0.0580 0.5000 0.8652 (multiplicity 4)
3 Ba 0.1882 0.5000 0.3554 (multiplicity 4)
4 Ba 0.1904 0.0000 0.8558 (multiplicity 4)
5 Rh 0.0000 0.5000 0.5000 (multiplicity 2)
6 Au 0.2495 0.0000 0.2526 (multiplicity 4)

Values from the calculation:
Calculated formation energy ... -8.01 kcal/mol of atoms
Calculated volume ... 1146.0 Å³ per cell
Crystal system ... monoclinic
ρ ... 4.62 Mg/m³
E ... -66.2 eV for the cell shown
Polymorph energy (0 for the lowest one) ... 0 meV/atom
N(E_F) ... 8.514 states/eV/f.u.

Material: BaRh2Au
Method: DFT, PBE
State: optimized geometry

a b c (Å): 3.1126 3.7038 7.4482
angles (deg): 90.00 90.00 90.00
Space group Pmm2 (No. 25)
Unique sites:
1 Ba 0.0000 0.0000 0.0000 (multiplicity 1)
2 Rh 0.0000 0.0000 0.4551 (multiplicity 1)
3 Rh 0.5000 0.5000 0.3171 (multiplicity 1)
4 Au 0.5000 0.5000 0.6850 (multiplicity 1)

Values from the calculation:
Calculated formation energy ... 2.16 kcal/mol of atoms
Calculated volume ... 85.9 Å³ per cell
Crystal system ... orthorhombic
ρ ... 10.45 Mg/m³
E ... -19.5 eV for the cell shown
N(E_F) ... 4.691 states/eV/f.u.

Material: Ba7RhAu4
Method: DFT, PBE
State: optimized geometry

a b c (Å): 15.5007 4.6162 14.0060
angles (deg): 90.00 105.46 90.00
Space group Cm (No. 8)
Unique sites:
1 Ba 0.0000 0.0000 0.0000 (multiplicity 2)
2 Ba 0.0278 0.5000 0.2748 (multiplicity 2)
3 Ba 0.0951 0.5000 0.5849 (multiplicity 2)
4 Ba 0.2165 0.0000 0.8516 (multiplicity 2)
5 Ba 0.2453 0.5000 0.1391 (multiplicity 2)
6 Ba 0.2824 0.0000 0.4058 (multiplicity 2)
7 Ba 0.4054 0.5000 0.6814 (multiplicity 2)
8 Rh 0.1404 0.0000 0.2061 (multiplicity 2)
9 Au 0.0538 0.5000 0.8221 (multiplicity 2)
10 Au 0.2500 0.0000 0.6299 (multiplicity 2)
11 Au 0.3709 0.0000 0.0630 (multiplicity 2)
12 Au 0.4496 0.5000 0.4457 (multiplicity 2)

Values from the calculation:
Calculated formation energy ... -12.06 kcal/mol of atoms
Calculated volume ... 965.9 Å³ per cell
Crystal system ... monoclinic
ρ ... 6.37 Mg/m³
E ... -80.4 eV for the cell shown
N(E_F) ... 7.727 states/eV/f.u.

Material: Ba9Rh2Au4
Method: DFT, PBE
State: optimized geometry

a b c (Å): 13.9228 8.0395 22.7426
angles (deg): 90.00 90.02 90.00
Space group C2/c (No. 15)
Unique sites:
1 Ba 0.0000 0.1989 0.2500 (multiplicity 4)
2 Ba 0.0017 0.1782 0.5866 (multiplicity 8)
3 Ba 0.1505 0.3505 0.7500 (multiplicity 8)
4 Ba 0.1604 0.3361 0.0867 (multiplicity 8)
5 Ba 0.1619 0.3412 0.4133 (multiplicity 8)
6 Rh 0.0000 0.4995 0.1604 (multiplicity 8)
7 Au 0.1666 0.9995 0.1715 (multiplicity 8)
8 Au 0.1665 0.9999 0.4986 (multiplicity 8)

Values from the calculation:
Calculated formation energy ... -10.31 kcal/mol of atoms
Calculated volume ... 2545.6 Å³ per cell
Crystal system ... monoclinic
ρ ... 5.82 Mg/m³
E ... -207.3 eV for the cell shown
N(E_F) ... 11.148 states/eV/f.u.

Material: Ba2RhAu2
Method: DFT, PBE
State: optimized geometry

a b c (Å): 7.6830 7.6830 4.8023
angles (deg): 90.00 90.00 90.00
Space group P4/mbm (No. 127)
Unique sites:
1 Ba 0.1780 0.3220 0.0000 (multiplicity 4)
2 Rh 0.0000 0.0000 0.5000 (multiplicity 2)
3 Au 0.1366 0.6366 0.5000 (multiplicity 4)

Values from the calculation:
Calculated formation energy ... -7.06 kcal/mol of atoms
Calculated volume ... 283.5 Å³ per cell
Crystal system ... tetragonal
ρ ... 9.04 Mg/m³
E ... -38.6 eV for the cell shown
N(E_F) ... 3.728 states/eV/f.u.

Material: Ba4RhAu2
Method: DFT, PBE
State: optimized geometry

a b c (Å): 16.9305 4.7002 7.9355
angles (deg): 90.00 116.82 90.00
Space group C2/m (No. 12)
Unique sites:
1 Ba 0.1161 0.0000 0.2714 (multiplicity 4)
2 Ba 0.1216 0.5000 0.8018 (multiplicity 4)
3 Rh 0.0000 0.5000 0.0000 (multiplicity 2)
4 Au 0.2460 0.0000 0.7452 (multiplicity 4)

Values from the calculation:
Calculated formation energy ... -10.08 kcal/mol of atoms
Calculated volume ... 563.5 Å³ per cell
Crystal system ... monoclinic
ρ ... 6.17 Mg/m³
E ... -49.3 eV for the cell shown
Polymorph energy (0 for the lowest one) ... 0 meV/atom
N(E_F) ... 5.688 states/eV/f.u.

- Look up the calculated volume of the second one.
  85.9 Å³ per cell